# NaErHgPd

A relaxed structure of NaErHgPd (PBE-GGA, the Alexandria database).

**E_tot**: -3.2262 eV per atom
**Space group**: F-43m
**Fermi-level density of states**: 2.169 states/eV per cell
**Energy relative to the elements**: -0.38 eV/atom

Cell: 4.9821 4.9821 4.9821 Å, 60.00 60.00 60.00°
Atoms (fractional coordinates):
Na1 0.0000 0.0000 0.0000
Hg1 0.7500 0.7500 0.7500
Pd1 0.2500 0.2500 0.2500
Er1 0.5000 0.5000 0.5000

---

# NaPrErHg

A relaxed structure of NaPrErHg (PBE-GGA, the Alexandria database).

**E_tot**: -2.7935 eV per atom
**Space group**: F-43m
**Fermi-level density of states**: 4.913 states/eV per cell
**Energy relative to the elements**: -0.05 eV/atom

Cell: 5.4291 5.4291 5.4291 Å, 60.00 60.00 60.00°
Atoms (fractional coordinates):
Pr1 0.7500 0.7500 0.7500
Na1 0.0000 0.0000 0.0000
Hg1 0.5000 0.5000 0.5000
Er1 0.2500 0.2500 0.2500

---

# NaSmErHg

A relaxed structure of NaSmErHg (PBE-GGA, the Alexandria database).

**E_tot**: -2.7706 eV per atom
**Space group**: F-43m
**Fermi-level density of states**: 5.010 states/eV per cell
**Energy relative to the elements**: -0.04 eV/atom

Cell: 5.3752 5.3752 5.3752 Å, 60.00 60.00 60.00°
Atoms (fractional coordinates):
Na1 0.7500 0.7500 0.7500
Hg1 0.2500 0.2500 0.2500
Sm1 0.0000 0.0000 0.0000
Er1 0.5000 0.5000 0.5000

---

# NaErHgTe3

A relaxed structure of NaErHgTe3 (PBE-GGA, the Alexandria database).

**Raw formation energy**: -0.847 eV per atom
**E_tot**: -3.4484 eV per atom
**Space group**: P2_1/m

Cell: 4.4354 8.8091 10.7249 Å, 105.58 90.00 90.00°
Atoms (fractional coordinates):
Na1 0.2500 0.2056 0.2133
Na2 0.7500 0.7944 0.7867
Er1 0.2500 0.6753 0.1472
Er2 0.7500 0.3247 0.8528
Hg1 0.2500 0.0894 0.6054
Hg2 0.7500 0.9106 0.3946
Te1 0.7500 0.9199 0.1340
Te2 0.2500 0.0801 0.8660
Te3 0.2500 0.7359 0.4564
Te4 0.7500 0.2641 0.5436
Te5 0.7500 0.4372 0.1494
Te6 0.2500 0.5628 0.8506

---

# NaErTlHg

A relaxed structure of NaErTlHg (PBE-GGA, the Alexandria database).

**E_tot**: -2.4022 eV per atom
**Space group**: P4mm
**Fermi-level density of states**: 1.989 states/eV per cell
**Energy relative to the elements**: -0.26 eV/atom

Cell: 3.7331 3.7331 7.5237 Å, 90.00 90.00 90.00°
Atoms (fractional coordinates):
Na1 0.0000 0.0000 0.8504
Er1 0.0000 0.0000 0.3700
Tl1 0.5000 0.5000 0.1097
Hg1 0.5000 0.5000 0.5978

---

# NaErTlHg

A relaxed structure of NaErTlHg (PBE-GGA, the Alexandria database).

**E_tot**: -2.4005 eV per atom
**Space group**: F-43m
**Fermi-level density of states**: 2.785 states/eV per cell
**Energy relative to the elements**: -0.26 eV/atom

Cell: 5.2314 5.2314 5.2314 Å, 60.00 60.00 60.00°
Atoms (fractional coordinates):
Na1 0.0000 0.0000 0.0000
Tl1 0.2500 0.2500 0.2500
Hg1 0.7500 0.7500 0.7500
Er1 0.5000 0.5000 0.5000